Entry P
A relaxed structure of Sc2OsPt. Source: the Open Quantum Materials Database, functional GGA-PBE.

abc: 6.3694 6.4016 3.3235
angles: 90.00 90.00 90.00
Closest atoms and distances in Å follow each position.
Atoms (fractional coordinates):
Sc 0.2500 0.2500 0.0000  4 Os 2.80, 4 Pt 2.80
Sc 0.2500 0.7500 0.0000  4 Os 2.80, 4 Pt 2.80
Sc 0.7500 0.2500 0.0000  4 Os 2.80, 4 Pt 2.80
Sc 0.7500 0.7500 0.0000  4 Os 2.80, 4 Pt 2.80
Os 0.0000 0.0000 0.5000  8 Sc 2.80
Os 0.5000 0.5000 0.5000  8 Sc 2.80
Pt 0.0000 0.5000 0.5000  8 Sc 2.80
Pt 0.5000 0.0000 0.5000  8 Sc 2.80

Values from the calculation:
Volume in Å³/cell: 136
M_tot in μB per cell: 0.003
SG: Cmmm, No. 65


Entry Q
A relaxed structure of Sc2OsPt. Source: the Open Quantum Materials Database, functional GGA-PBE.

abc: 6.4740 6.4740 6.4740
angles: 90.00 90.00 90.00
Closest atoms and distances in Å follow each position.
Atoms (fractional coordinates):
Sc 0.2500 0.2500 0.2500  4 Os 2.80, 4 Pt 2.80
Sc 0.2500 0.2500 0.7500  4 Os 2.80, 4 Pt 2.80
Sc 0.2500 0.7500 0.2500  4 Os 2.80, 4 Pt 2.80
Sc 0.2500 0.7500 0.7500  4 Os 2.80, 4 Pt 2.80
Sc 0.7500 0.2500 0.2500  4 Os 2.80, 4 Pt 2.80
Sc 0.7500 0.2500 0.7500  4 Os 2.80, 4 Pt 2.80
Sc 0.7500 0.7500 0.2500  4 Os 2.80, 4 Pt 2.80
Sc 0.7500 0.7500 0.7500  4 Os 2.80, 4 Pt 2.80
Os 0.0000 0.0000 0.0000  8 Sc 2.80
Os 0.0000 0.5000 0.5000  8 Sc 2.80
Os 0.5000 0.0000 0.5000  8 Sc 2.80
Os 0.5000 0.5000 0.0000  8 Sc 2.80
Pt 0.0000 0.0000 0.5000  8 Sc 2.80
Pt 0.0000 0.5000 0.0000  8 Sc 2.80
Pt 0.5000 0.0000 0.0000  8 Sc 2.80
Pt 0.5000 0.5000 0.5000  8 Sc 2.80

Values from the calculation:
Volume in Å³/cell: 271
M_tot in μB per cell: 0.013
SG: Fm-3m, No. 225


Entry R
A relaxed structure of Sc2OsPt. Source: the Open Quantum Materials Database, functional GGA-PBE.

abc: 3.2648 3.2648 6.3837
angles: 90.00 90.00 90.00
Closest atoms and distances in Å follow each position.
Atoms (fractional coordinates):
Sc 0.0000 0.0000 0.2405  4 Os 2.77, 4 Pt 2.84, 1 Sc 3.07
Sc 0.0000 0.0000 0.7595  4 Os 2.77, 4 Pt 2.84, 1 Sc 3.07
Os 0.5000 0.5000 0.0000  8 Sc 2.77
Pt 0.5000 0.5000 0.5000  8 Sc 2.84

Values from the calculation:
Volume in Å³/cell: 68
M_tot in μB per cell: 0.004
SG: P4/mmm, No. 123


Quick one: most stable of them? entry R